[1]
The following is a DFT calculation (PBE) of crystalline ZnSi2Cl at its relaxed geometry.

Results
As for the crystal system: orthorhombic. Its formation energy from raw total energies is 0.402 eV/atom.

Cell: 2.787 4.920 5.134 Å, 90.00 90.00 90.00°
Space group Pmmm (No. 47)
Unique sites:
Zn 0.000 0.000 0.000 [1 per cell]
Si 0.500 0.500 0.241 [2 per cell]
Cl 0.000 0.000 0.500 [1 per cell]



[2]
The following is a DFT calculation (PBE) of crystalline Ti15Sn2Pd2 at its relaxed geometry.

Results
As for the crystal system: trigonal. As for the formation energy: 0.097 eV per atom.

Cell: 8.9288 8.9288 14.5300 Å, 90.00 90.00 120.00°
Space group R-3m (No. 166, hexagonal axes)
Unique sites:
Ti 0.0000 0.2999 0.0000 [18 per cell]
Ti 0.0000 0.5000 0.5000 [9 per cell]
Ti 0.0299 0.5149 0.1367 [18 per cell]
Sn 0.0000 0.0000 0.3051 [6 per cell]
Pd 0.0000 0.0000 0.0948 [6 per cell]



Number 1 is which compound?
ZnSi2Cl